# 1
VASP calculation (PBE) on crystalline NaInPbCl4 at its relaxed geometry.

a b c (Å): 7.7425 7.7877 8.4606
angles (deg): 90.00 106.53 90.00
Closest atoms and distances in Å follow each position.
Space group P2_1/m (No. 11)
Unique sites:
Na: 0.2117 0.2500 0.1808 (multiplicity 2)  4 Cl 2.66-2.72
In: 0.2873 0.7500 0.4548 (multiplicity 2)  2 Cl 2.93-2.99
Pb: 0.3246 0.7500 0.9621 (multiplicity 2)  6 Cl 2.83-3.07
Cl: 0.0391 0.7500 0.6600 (multiplicity 2)  1 Na 2.66, 1 Pb 2.86, 1 In 2.93
Cl: 0.0400 0.7500 0.1109 (multiplicity 2)  1 Na 2.67, 1 Pb 2.83, 1 In 2.99
Cl: 0.4762 0.0104 0.2154 (multiplicity 4)  1 Na 2.72, 1 Pb 2.94

Properties
formation energy (no corrections): -1185 meV/atom
total energy: -0.1231 Ha/atom
N(E_F): 0.000 states/eV/cell



# 2
VASP calculation (PBE) on crystalline KRb2ReCl6 at its relaxed geometry.

a b c (Å): 10.7577 10.7577 10.7577
angles (deg): 90.00 90.00 90.00
Closest atoms and distances in Å follow each position.
Space group Fm-3m (No. 225)
Unique sites:
K: 0.0000 0.0000 0.0000 (multiplicity 4)  6 Cl 2.97
Rb: 0.2500 0.2500 0.2500 (multiplicity 8)  12 Cl 3.81
Re: 0.0000 0.0000 0.5000 (multiplicity 4)  6 Cl 2.41
Cl: 0.0000 0.0000 0.2763 (multiplicity 24)  1 Re 2.41

Properties
formation energy (no corrections): -1311 meV/atom
total energy: -0.1458 Ha/atom
N(E_F): 29.199 states/eV/cell



# 3
VASP calculation (PBE) on crystalline ScCF at its relaxed geometry.

a b c (Å): 6.5496 3.2864 7.6843
angles (deg): 90.00 96.11 90.00
Closest atoms and distances in Å follow each position.
Space group Cm (No. 8)
Unique sites:
Sc: 0.0000 0.0000 0.0000 (multiplicity 2)  2 F 2.11, 4 C 2.24-2.36
Sc: 0.1804 0.0000 0.3930 (multiplicity 2)  2 F 2.12, 1 C 2.14
C: 0.2029 0.5000 0.1494 (multiplicity 2)  1 C 1.34
C: 0.3755 0.5000 0.2608 (multiplicity 2)  1 C 1.34
F: 0.1320 0.5000 0.5571 (multiplicity 2)  2 Sc 2.12
F: 0.3571 0.0000 0.8642 (multiplicity 2)  2 Sc 2.11

Properties
offset from the most stable computed form: 0.229 eV per formula unit
formation energy (no corrections): -1797 meV/atom
total energy: -0.2795 Ha/atom
N(E_F): 2.911 states/eV/cell



# 4
VASP calculation (PBE) on crystalline YUTc2 at its relaxed geometry.

a b c (Å): 3.3655 3.3655 7.0116
angles (deg): 90.00 90.00 90.00
Closest atoms and distances in Å follow each position.
Space group P4/mmm (No. 123)
Unique sites:
Y: 0.0000 0.0000 0.0000 (multiplicity 1)  8 Tc 3.15, 4 Y 3.37, 2 U 3.51
U: 0.0000 0.0000 0.5000 (multiplicity 1)  8 Tc 2.78
Tc: 0.5000 0.5000 0.2940 (multiplicity 2)  4 U 2.78, 1 Tc 2.89

Properties
offset from the most stable computed form: 0.000 eV per formula unit
E_form: -0.1563 eV per atom
total energy: -0.3593 Ha/atom
N(E_F): 2.287 states/eV/cell